No. 1
First-principles (PBE-GGA) data for a geometry-optimized Tb8OsRh2 structure, as listed in Alexandria via LeMat-Bulk.

abc: 7.5657 7.5657 6.0636
angles: 100.93 100.93 114.01
Last column: nearest neighbours and their distance in Å.
Sites, in units of the cell vectors:
Tb (0.0000, 0.0000, 0.0000)  1 Os 2.93, 2 Rh 3.06
Tb (0.0197, 0.2754, 0.5716)  2 Rh 2.78-2.84, 1 Os 2.99
Tb (0.1415, 0.5600, 0.1795)  1 Os 2.84
Tb (0.2754, 0.0197, 0.5716)  2 Rh 2.78-2.84, 1 Os 2.99
Tb (0.4365, 0.6941, 0.7690)  2 Rh 2.77-2.81, 1 Os 3.04
Tb (0.5600, 0.1415, 0.1795)  1 Os 2.84
Tb (0.6941, 0.4365, 0.7690)  2 Rh 2.77-2.81, 1 Os 3.04
Tb (0.7072, 0.7072, 0.3597)  1 Os 2.90, 2 Rh 3.06
Os (0.3520, 0.3520, 0.3455)  8 Tb 2.84-3.04
Rh (0.0479, 0.6699, 0.6769)  6 Tb 2.77-3.06
Rh (0.6699, 0.0479, 0.6769)  6 Tb 2.77-3.06

Values from the calculation:
ΔH_f (0 K)   -0.33 eV/atom
M_tot   0.00 μB/atom
Crystal system   monoclinic

No. 2
First-principles (PBE-GGA) data for a geometry-optimized Sm2Zr3Ga4 structure, as listed in Alexandria via LeMat-Bulk.

abc: 8.4823 8.4823 8.2179
angles: 90.00 90.00 136.03
Last column: nearest neighbours and their distance in Å.
Sites, in units of the cell vectors:
Sm (0.1119, 0.8881, 0.9136)  8 Ga 3.11-3.43
Sm (0.3881, 0.6119, 0.4136)  8 Ga 3.11-3.43
Sm (0.6119, 0.3881, 0.5864)  8 Ga 3.11-3.43
Sm (0.8881, 0.1119, 0.0864)  8 Ga 3.11-3.43
Zr (0.0000, 0.0000, 0.5000)  6 Ga 2.65-2.90
Zr (0.0407, 0.4593, 0.7500)  5 Ga 2.75-2.97
Zr (0.4593, 0.0407, 0.2500)  5 Ga 2.75-2.97
Zr (0.5000, 0.5000, 0.0000)  6 Ga 2.65-2.90
Zr (0.5407, 0.9593, 0.7500)  5 Ga 2.75-2.97
Zr (0.9593, 0.5407, 0.2500)  5 Ga 2.75-2.97
Ga (0.1823, 0.8177, 0.5515)  5 Zr 2.84-2.97, 1 Sm 3.18
Ga (0.2153, 0.2847, 0.7500)  3 Zr 2.65-2.75
Ga (0.2847, 0.2153, 0.2500)  3 Zr 2.65-2.75
Ga (0.3177, 0.6823, 0.0515)  5 Zr 2.84-2.97, 1 Sm 3.18
Ga (0.6823, 0.3177, 0.9485)  5 Zr 2.84-2.97, 1 Sm 3.18
Ga (0.7153, 0.7847, 0.7500)  3 Zr 2.65-2.75
Ga (0.7847, 0.7153, 0.2500)  3 Zr 2.65-2.75
Ga (0.8177, 0.1823, 0.4485)  5 Zr 2.84-2.97, 1 Sm 3.18

Values from the calculation:
ΔH_f (0 K)   -0.42 eV/atom
Offset from the most stable computed form   139.5 meV per atom
M_tot   0.00 μB/atom
Crystal system   orthorhombic

No. 3
First-principles (PBE-GGA) data for a geometry-optimized Cd2MoIr structure, as listed in Alexandria via LeMat-Bulk.

abc: 4.8664 4.8664 2.9596
angles: 90.00 90.00 90.00
Last column: nearest neighbours and their distance in Å.
Sites, in units of the cell vectors:
Cd (0.0000, 0.5000, 0.0000)  4 Mo 2.85, 4 Ir 2.85, 2 Cd 2.96
Cd (0.5000, 0.0000, 0.0000)  4 Mo 2.85, 4 Ir 2.85, 2 Cd 2.96
Mo (0.0000, 0.0000, 0.5000)  8 Cd 2.85, 2 Mo 2.96
Ir (0.5000, 0.5000, 0.5000)  8 Cd 2.85, 2 Ir 2.96

Values from the calculation:
ΔH_f (0 K)   0.63 eV/atom
Offset from the most stable computed form   612.2 meV per atom
M_tot   0.14 μB/atom
Crystal system   tetragonal

No. 4
First-principles (PBE-GGA) data for a geometry-optimized CoAgP2 structure, as listed in Alexandria via LeMat-Bulk.

abc: 5.7741 6.4840 3.0564
angles: 90.00 90.14 90.00
Last column: nearest neighbours and their distance in Å.
Sites, in units of the cell vectors:
Co (0.0000, 0.0000, 0.0000)  8 P 2.65-2.66, 2 Ag 2.89
Co (0.5000, 0.5000, 0.0000)  8 P 2.65-2.66, 2 Ag 2.89
Ag (0.0000, 0.5000, 0.0000)  8 P 2.65-2.66, 2 Co 2.89
Ag (0.5000, 0.0000, 0.0000)  8 P 2.65-2.66, 2 Co 2.89
P (0.2500, 0.2500, 0.5000)  4 Co 2.65-2.66, 4 Ag 2.65-2.66, 2 P 2.89
P (0.2500, 0.7500, 0.5000)  4 Co 2.65-2.66, 4 Ag 2.65-2.66, 2 P 2.89
P (0.7500, 0.2500, 0.5000)  4 Co 2.65-2.66, 4 Ag 2.65-2.66, 2 P 2.89
P (0.7500, 0.7500, 0.5000)  4 Co 2.65-2.66, 4 Ag 2.65-2.66, 2 P 2.89

Values from the calculation:
ΔH_f (0 K)   0.46 eV/atom
Offset from the most stable computed form   420.2 meV per atom
M_tot   0.20 μB/atom
Crystal system   monoclinic

No. 5
First-principles (PBE-GGA) data for a geometry-optimized NbInWC2 structure, as listed in Alexandria via LeMat-Bulk.

abc: 4.1564 4.1564 5.2852
angles: 90.00 90.00 90.00
Last column: nearest neighbours and their distance in Å.
Sites, in units of the cell vectors:
Nb (0.0000, 0.0000, 0.0000)  4 C 2.08
In (0.5000, 0.5000, 0.5000)  4 W 2.94
W (0.0000, 0.0000, 0.5000)  2 Nb 2.64, 4 In 2.94
C (0.0000, 0.5000, 0.0000)  2 Nb 2.08
C (0.5000, 0.0000, 0.0000)  2 Nb 2.08

Values from the calculation:
ΔH_f (0 K)   1.98 eV/atom
M_tot   0.00 μB/atom
Crystal system   tetragonal

No. 6
First-principles (PBE-GGA) data for a geometry-optimized TcBIr structure, as listed in Alexandria via LeMat-Bulk.

abc: 2.7339 2.7339 9.3330
angles: 90.00 90.00 90.00
Last column: nearest neighbours and their distance in Å.
Sites, in units of the cell vectors:
Tc (0.0000, 0.0000, 0.0000)  4 B 2.37
Tc (0.5000, 0.5000, 0.5000)  4 B 2.37
B (0.0000, 0.0000, 0.3535)  4 Ir 2.32, 4 Tc 2.37
B (0.5000, 0.5000, 0.8535)  4 Ir 2.32, 4 Tc 2.37
Ir (0.0000, 0.0000, 0.7156)  4 B 2.32
Ir (0.5000, 0.5000, 0.2156)  4 B 2.32

Values from the calculation:
ΔH_f (0 K)   -0.08 eV/atom
M_tot   0.00 μB/atom
Crystal system   tetragonal

No. 7
First-principles (PBE-GGA) data for a geometry-optimized BaBeOs2 structure, as listed in Alexandria via LeMat-Bulk.

abc: 2.9446 2.9446 27.4129
angles: 90.00 90.00 120.00
Last column: nearest neighbours and their distance in Å.
Sites, in units of the cell vectors:
Ba (0.0000, 0.0000, 0.0000)  6 Ba 2.94
Ba (0.3333, 0.6667, 0.6667)  6 Ba 2.94
Ba (0.6667, 0.3333, 0.3333)  6 Ba 2.94
Be (0.0000, 0.0000, 0.5000)  6 Os 2.37
Be (0.3333, 0.6667, 0.1667)  6 Os 2.37
Be (0.6667, 0.3333, 0.8333)  6 Os 2.37
Os (0.0000, 0.0000, 0.2270)  3 Be 2.37
Os (0.0000, 0.0000, 0.7730)  3 Be 2.37
Os (0.3333, 0.6667, 0.4397)  3 Be 2.37
Os (0.3333, 0.6667, 0.8937)  3 Be 2.37
Os (0.6667, 0.3333, 0.1063)  3 Be 2.37
Os (0.6667, 0.3333, 0.5603)  3 Be 2.37

Values from the calculation:
ΔH_f (0 K)   0.98 eV/atom
M_tot   0.00 μB/atom
Crystal system   trigonal

No. 8
First-principles (PBE-GGA) data for a geometry-optimized SrRu4Pb structure, as listed in Alexandria via LeMat-Bulk.

abc: 5.4098 5.4098 5.4098
angles: 60.00 60.00 60.00
Last column: nearest neighbours and their distance in Å.
Sites, in units of the cell vectors:
Sr (0.0000, 0.0000, 0.0000)  12 Ru 3.17, 4 Pb 3.31
Ru (0.3761, 0.3761, 0.3761)  6 Ru 2.68-2.73
Ru (0.3761, 0.3761, 0.8717)  6 Ru 2.68-2.73
Ru (0.3761, 0.8717, 0.3761)  6 Ru 2.68-2.73
Ru (0.8717, 0.3761, 0.3761)  6 Ru 2.68-2.73
Pb (0.7500, 0.7500, 0.7500)  12 Ru 3.17, 4 Sr 3.31

Values from the calculation:
ΔH_f (0 K)   0.43 eV/atom
M_tot   0.56 μB/atom
Crystal system   cubic

No. 9
First-principles (PBE-GGA) data for a geometry-optimized Ba2LaAu structure, as listed in Alexandria via LeMat-Bulk.

abc: 4.3053 4.3053 33.1452
angles: 90.00 90.00 120.00
Last column: nearest neighbours and their distance in Å.
Sites, in units of the cell vectors:
Ba (0.0000, 0.0000, 0.2311)  3 Au 3.28
Ba (0.0000, 0.0000, 0.7689)  3 Au 3.28
Ba (0.3333, 0.6667, 0.4355)  3 Au 3.28
Ba (0.3333, 0.6667, 0.8978)  3 Au 3.28
Ba (0.6667, 0.3333, 0.1022)  3 Au 3.28
Ba (0.6667, 0.3333, 0.5645)  3 Au 3.28
La (0.0000, 0.0000, 0.0000)  6 Ba 4.20, 6 La 4.31
La (0.3333, 0.6667, 0.6667)  6 Ba 4.20, 6 La 4.31
La (0.6667, 0.3333, 0.3333)  6 Ba 4.20, 6 La 4.31
Au (0.0000, 0.0000, 0.5000)  6 Ba 3.28
Au (0.3333, 0.6667, 0.1667)  6 Ba 3.28
Au (0.6667, 0.3333, 0.8333)  6 Ba 3.28

Values from the calculation:
ΔH_f (0 K)   -0.16 eV/atom
Offset from the most stable computed form   167.1 meV per atom
M_tot   0.24 μB/atom
Crystal system   trigonal

No. 10
First-principles (PBE-GGA) data for a geometry-optimized Na2NpF6 structure, as listed in Alexandria via LeMat-Bulk.

abc: 5.2841 5.2841 10.6411
angles: 90.00 90.00 90.00
Last column: nearest neighbours and their distance in Å.
Sites, in units of the cell vectors:
Na (0.0000, 0.0000, 0.1641)  6 F 2.31-2.40
Na (0.0000, 0.0000, 0.8359)  6 F 2.31-2.40
Na (0.5000, 0.5000, 0.3359)  6 F 2.31-2.40
Na (0.5000, 0.5000, 0.6641)  6 F 2.31-2.40
Np (0.0000, 0.0000, 0.5000)  6 F 2.17-2.18
Np (0.5000, 0.5000, 0.0000)  6 F 2.17-2.18
F (0.1911, 0.1911, 0.3459)  1 Np 2.17, 2 Na 2.31-2.40
F (0.1911, 0.1911, 0.6541)  1 Np 2.17, 2 Na 2.31-2.40
F (0.2081, 0.2081, 0.0000)  1 Np 2.18, 2 Na 2.34
F (0.2919, 0.7081, 0.5000)  1 Np 2.18, 2 Na 2.34
F (0.3089, 0.6911, 0.1541)  1 Np 2.17, 2 Na 2.31-2.40
F (0.3089, 0.6911, 0.8459)  1 Np 2.17, 2 Na 2.31-2.40
F (0.6911, 0.3089, 0.1541)  1 Np 2.17, 2 Na 2.31-2.40
F (0.6911, 0.3089, 0.8459)  1 Np 2.17, 2 Na 2.31-2.40
F (0.7081, 0.2919, 0.5000)  1 Np 2.18, 2 Na 2.34
F (0.7919, 0.7919, 0.0000)  1 Np 2.18, 2 Na 2.34
F (0.8089, 0.8089, 0.3459)  1 Np 2.17, 2 Na 2.31-2.40
F (0.8089, 0.8089, 0.6541)  1 Np 2.17, 2 Na 2.31-2.40

Values from the calculation:
M_tot   0.33 μB/atom
Crystal system   tetragonal
Formation energy from raw total energies   -28.890 eV/f.u.

No. 11
First-principles (PBE-GGA) data for a geometry-optimized Ce2Cd4Hg3 structure, as listed in Alexandria via LeMat-Bulk.

abc: 9.0153 9.0153 8.6438
angles: 90.00 90.00 139.28
Last column: nearest neighbours and their distance in Å.
Sites, in units of the cell vectors:
Ce (0.0985, 0.9015, 0.8912)  4 Hg 3.30-3.67, 7 Cd 3.47-3.55
Ce (0.4015, 0.5985, 0.3912)  4 Hg 3.30-3.67, 7 Cd 3.47-3.55
Ce (0.5985, 0.4015, 0.6088)  4 Hg 3.30-3.67, 7 Cd 3.47-3.55
Ce (0.9015, 0.0985, 0.1088)  4 Hg 3.30-3.67, 7 Cd 3.47-3.55
Cd (0.1733, 0.8267, 0.5071)  5 Hg 2.93-2.98, 2 Cd 3.23
Cd (0.1799, 0.3201, 0.7500)  3 Hg 2.92-2.96, 4 Cd 3.14-3.23
Cd (0.3201, 0.1799, 0.2500)  3 Hg 2.92-2.96, 4 Cd 3.14-3.23
Cd (0.3267, 0.6733, 0.0071)  5 Hg 2.93-2.98, 2 Cd 3.23
Cd (0.6733, 0.3267, 0.9929)  5 Hg 2.93-2.98, 2 Cd 3.23
Cd (0.6799, 0.8201, 0.7500)  3 Hg 2.92-2.96, 4 Cd 3.14-3.23
Cd (0.8201, 0.6799, 0.2500)  3 Hg 2.92-2.96, 4 Cd 3.14-3.23
Cd (0.8267, 0.1733, 0.4929)  5 Hg 2.93-2.98, 2 Cd 3.23
Hg (0.0000, 0.0000, 0.5000)  6 Cd 2.92-2.93
Hg (0.0047, 0.4953, 0.7500)  5 Cd 2.96-2.98, 2 Hg 3.14, 2 Ce 3.30
Hg (0.4953, 0.0047, 0.2500)  5 Cd 2.96-2.98, 2 Hg 3.14, 2 Ce 3.30
Hg (0.5000, 0.5000, 0.0000)  6 Cd 2.92-2.93
Hg (0.5047, 0.9953, 0.7500)  5 Cd 2.96-2.98, 2 Hg 3.14, 2 Ce 3.30
Hg (0.9953, 0.5047, 0.2500)  5 Cd 2.96-2.98, 2 Hg 3.14, 2 Ce 3.30

Values from the calculation:
ΔH_f (0 K)   -0.15 eV/atom
M_tot   0.30 μB/atom
Crystal system   orthorhombic

No. 12
First-principles (PBE-GGA) data for a geometry-optimized LaErIn structure, as listed in Alexandria via LeMat-Bulk.

abc: 3.6297 3.6297 13.9827
angles: 90.00 90.00 90.00
Last column: nearest neighbours and their distance in Å.
Sites, in units of the cell vectors:
La (0.0000, 0.0000, 0.0000)  4 In 3.45, 4 La 3.63, 4 Er 3.73
La (0.5000, 0.5000, 0.5000)  4 In 3.45, 4 La 3.63, 4 Er 3.73
Er (0.0000, 0.0000, 0.3061)  4 In 3.23
Er (0.5000, 0.5000, 0.8061)  4 In 3.23
In (0.0000, 0.0000, 0.6654)  4 Er 3.23, 4 La 3.45
In (0.5000, 0.5000, 0.1654)  4 Er 3.23, 4 La 3.45

Values from the calculation:
ΔH_f (0 K)   -0.29 eV/atom
Offset from the most stable computed form   48.3 meV per atom
M_tot   0.00 μB/atom
Crystal system   tetragonal

| no. | density of states at the Fermi level (states/eV/cell) |
| --- | --- |
| 1 | 10.950 |
| 2 | 16.735 |
| 3 | 5.070 |
| 4 | 7.593 |
| 5 | 3.077 |
| 6 | 5.290 |
| 7 | 6.434 |
| 8 | 8.243 |
| 9 | 15.812 |
| 10 | 24.059 |
| 11 | 35.889 |
| 12 | 5.157 |